Record 1
Ba2Ta15O32 | GGA-PBE | relaxed

Summary:
crystal system = trigonal
calculated volume = 621 Å³ per cell
calculated total energy = -9.69 eV/atom
space group = No. 148

Geometry as POSCAR:
```
Ba2Ta15O32
1.0
3.8920 2.2470 11.8299
-3.8920 2.2470 11.8299
0.0000 -4.4940 11.8299
Ba Ta O
2 15 32
direct
0.1392 0.1392 0.1392 Ba
0.8608 0.8608 0.8608 Ba
0.0300 0.6955 0.5739 Ta
0.0589 0.2239 0.8151 Ta
0.1849 0.9411 0.7761 Ta
0.2239 0.8151 0.0589 Ta
0.3045 0.4261 0.9700 Ta
0.3613 0.3613 0.3613 Ta
0.4261 0.9700 0.3045 Ta
0.5000 0.5000 0.5000 Ta
0.5739 0.0300 0.6955 Ta
0.6387 0.6387 0.6387 Ta
0.6955 0.5739 0.0300 Ta
0.7761 0.1849 0.9411 Ta
0.8151 0.0589 0.2239 Ta
0.9411 0.7761 0.1849 Ta
0.9700 0.3045 0.4261 Ta
0.0290 0.4401 0.1478 O
0.0364 0.8660 0.3045 O
0.1340 0.6955 0.9636 O
0.1478 0.0290 0.4401 O
0.1609 0.4558 0.5727 O
0.1608 0.5706 0.2669 O
0.2623 0.2623 0.2623 O
0.2669 0.1608 0.5706 O
0.2681 0.6889 0.4479 O
0.3045 0.0364 0.8660 O
0.3111 0.5521 0.7319 O
0.4273 0.8391 0.5442 O
0.4294 0.7331 0.8392 O
0.4401 0.1478 0.0290 O
0.4479 0.2681 0.6889 O
0.4558 0.5727 0.1609 O
0.5442 0.4273 0.8391 O
0.5521 0.7319 0.3110 O
0.5599 0.8522 0.9710 O
0.5706 0.2669 0.1608 O
0.5727 0.1609 0.4558 O
0.6889 0.4479 0.2681 O
0.6955 0.9636 0.1340 O
0.7319 0.3110 0.5521 O
0.7331 0.8392 0.4294 O
0.7377 0.7377 0.7377 O
0.8392 0.4294 0.7331 O
0.8391 0.5442 0.4273 O
0.8522 0.9710 0.5599 O
0.8660 0.3045 0.0364 O
0.9636 0.1340 0.6955 O
0.9710 0.5599 0.8522 O
```

***

Record 2
CdAs2HF13 | GGA-PBE | relaxed

Summary:
crystal system = monoclinic
calculated volume = 727 Å³ per cell
calculated total energy = -4.18 eV/atom
space group = No. 14

Geometry as POSCAR:
```
CdAs2HF13
1.0
8.7157 0.0000 0.0000
0.0000 8.7294 0.0000
-2.5030 0.0000 9.5572
Cd As H F
4 8 4 52
direct
0.2425 0.1990 0.4952 Cd
0.2425 0.3010 0.9952 Cd
0.7575 0.6990 0.0048 Cd
0.7575 0.8010 0.5048 Cd
0.0392 0.6780 0.8236 As
0.0392 0.8220 0.3236 As
0.4670 0.6621 0.1827 As
0.4670 0.8379 0.6827 As
0.5330 0.1621 0.3173 As
0.5330 0.3379 0.8173 As
0.9608 0.1780 0.6764 As
0.9608 0.3220 0.1764 As
0.2926 0.5203 0.4274 H
0.2926 0.9797 0.9274 H
0.7074 0.0203 0.0726 H
0.7074 0.4797 0.5726 H
0.0218 0.2018 0.0533 F
0.0218 0.2982 0.5533 F
0.0360 0.1821 0.3063 F
0.0360 0.3179 0.8063 F
0.0791 0.5643 0.6952 F
0.0791 0.9357 0.1952 F
0.1091 0.5440 0.9572 F
0.1091 0.9560 0.4572 F
0.1573 0.0999 0.7064 F
0.1573 0.4001 0.2064 F
0.2219 0.7308 0.3683 F
0.2219 0.7692 0.8683 F
0.2524 0.0367 0.9939 F
0.2524 0.4633 0.4939 F
0.2889 0.7422 0.6435 F
0.2889 0.7578 0.1435 F
0.3424 0.0786 0.2903 F
0.3424 0.4214 0.7903 F
0.3903 0.5288 0.0503 F
0.3903 0.9712 0.5503 F
0.4254 0.5471 0.3140 F
0.4254 0.9529 0.8140 F
0.4503 0.2017 0.6877 F
0.4503 0.2983 0.1877 F
0.4739 0.2193 0.9431 F
0.4739 0.2807 0.4431 F
0.5261 0.7193 0.5569 F
0.5261 0.7807 0.0569 F
0.5497 0.7017 0.8123 F
0.5497 0.7983 0.3123 F
0.5746 0.0471 0.1860 F
0.5746 0.4529 0.6860 F
0.6097 0.0288 0.4497 F
0.6097 0.4712 0.9497 F
0.6576 0.5786 0.2097 F
0.6576 0.9214 0.7097 F
0.7111 0.2422 0.8565 F
0.7111 0.2578 0.3565 F
0.7476 0.5367 0.5061 F
0.7476 0.9633 0.0061 F
0.7781 0.2308 0.1317 F
0.7781 0.2692 0.6317 F
0.8427 0.5999 0.7936 F
0.8427 0.9001 0.2936 F
0.8909 0.0440 0.5428 F
0.8909 0.4560 0.0428 F
0.9209 0.0643 0.8048 F
0.9209 0.4357 0.3048 F
0.9640 0.6821 0.1937 F
0.9640 0.8179 0.6937 F
0.9782 0.7018 0.4467 F
0.9782 0.7982 0.9467 F
```

***

Record 3
Na4IrN2O2 | GGA-PBE | relaxed

Summary:
crystal system = triclinic
calculated volume = 263 Å³ per cell
calculated total energy = -5.00 eV/atom
space group = No. 2

Geometry as POSCAR:
```
Na4IrN2O2
1.0
5.7773 0.0000 0.0000
2.1405 5.3891 0.0000
0.6797 2.0545 8.4450
Na Ir N O
8 2 4 4
direct
0.2133 0.0920 0.1732 Na
0.2389 0.9820 0.5752 Na
0.2454 0.5510 0.3834 Na
0.2638 0.7329 0.9845 Na
0.7362 0.2671 0.0155 Na
0.7546 0.4490 0.6166 Na
0.7611 0.0180 0.4248 Na
0.7867 0.9080 0.8268 Na
0.2394 0.3705 0.7431 Ir
0.7606 0.6295 0.2569 Ir
0.0392 0.6794 0.6354 N
0.4856 0.2170 0.6207 N
0.5144 0.7830 0.3793 N
0.9608 0.3206 0.3646 N
0.0480 0.1455 0.8303 O
0.3274 0.3239 0.9626 O
0.6726 0.6761 0.0374 O
0.9520 0.8545 0.1697 O
```

***

Record 4
ScAl2Cu4Ni | GGA-PBE | relaxed

Summary:
crystal system = tetragonal
calculated volume = 216 Å³ per cell
calculated total energy = -4.51 eV/atom
energy relative to the lowest polymorph listed for this composition = 10 meV/atom
space group = No. 141

Geometry as POSCAR:
```
ScAl2Cu4Ni
1.0
-2.9433 2.9433 6.2287
2.9433 -2.9433 6.2287
2.9433 2.9433 -6.2287
Sc Al Cu Ni
2 4 8 2
direct
0.3750 0.6250 0.7500 Sc
0.6250 0.3750 0.2500 Sc
0.1347 0.3847 0.7500 Al
0.3847 0.1347 0.2500 Al
0.6153 0.8653 0.7500 Al
0.8653 0.6153 0.2500 Al
0.0000 0.2242 0.2242 Cu
0.0000 0.7758 0.7758 Cu
0.2242 0.0000 0.7242 Cu
0.2242 0.5000 0.2242 Cu
0.5000 0.2242 0.7242 Cu
0.5000 0.7758 0.2758 Cu
0.7758 0.0000 0.2758 Cu
0.7758 0.5000 0.7758 Cu
0.1250 0.8750 0.2500 Ni
0.8750 0.1250 0.7500 Ni
```

***

Record 5
Lu4CoPN2 | GGA-PBE | relaxed

Summary:
crystal system = hexagonal
calculated volume = 132 Å³ per cell
calculated total energy = -7.00 eV/atom
space group = No. 187

Geometry as POSCAR:
```
Lu4CoPN2
1.0
3.4153 0.0000 0.0000
-1.7077 2.9578 0.0000
0.0000 0.0000 13.0194
Lu Co P N
4 1 1 2
direct
0.0000 0.0000 0.1459 Lu
0.0000 0.0000 0.8541 Lu
0.6667 0.3333 0.3524 Lu
0.6667 0.3333 0.6476 Lu
0.6667 0.3333 0.0000 Co
0.0000 0.0000 0.5000 P
0.3333 0.6667 0.2577 N
0.3333 0.6667 0.7423 N
```

***

Record 6
HfInCuW | GGA-PBE | relaxed

Summary:
crystal system = cubic
calculated volume = 288 Å³ per cell
calculated total energy = -6.94 eV/atom
energy relative to the lowest polymorph listed for this composition = 0 meV/atom
space group = No. 216

Geometry as POSCAR:
```
HfInCuW
1.0
6.6045 0.0000 0.0000
0.0000 6.6045 0.0000
0.0000 0.0000 6.6045
Hf In Cu W
4 4 4 4
direct
0.0000 0.0000 0.0000 Hf
0.0000 0.5000 0.5000 Hf
0.5000 0.0000 0.5000 Hf
0.5000 0.5000 0.0000 Hf
0.0000 0.0000 0.5000 In
0.0000 0.5000 0.0000 In
0.5000 0.0000 0.0000 In
0.5000 0.5000 0.5000 In
0.2500 0.2500 0.7500 Cu
0.2500 0.7500 0.2500 Cu
0.7500 0.2500 0.2500 Cu
0.7500 0.7500 0.7500 Cu
0.2500 0.2500 0.2500 W
0.2500 0.7500 0.7500 W
0.7500 0.2500 0.7500 W
0.7500 0.7500 0.2500 W
```

***

Record 7
ZrO3 | GGA-PBE | relaxed

Summary:
crystal system = monoclinic
calculated volume = 180 Å³ per cell
calculated total energy = -7.81 eV/atom
energy relative to the lowest polymorph listed for this composition = 210 meV/atom
space group = No. 12

Geometry as POSCAR:
```
ZrO3
1.0
5.6232 0.0000 0.0000
0.0000 11.3037 0.0000
-2.5499 0.0000 2.8346
Zr O
4 12
direct
0.0000 0.1561 0.0000 Zr
0.0000 0.8439 0.0000 Zr
0.5000 0.3439 0.0000 Zr
0.5000 0.6561 0.0000 Zr
0.1730 0.5000 0.6757 O
0.2487 0.3243 0.2504 O
0.2487 0.6757 0.2504 O
0.2513 0.1757 0.7496 O
0.2513 0.8243 0.7496 O
0.3270 0.0000 0.3243 O
0.6730 0.0000 0.6757 O
0.7487 0.1757 0.2504 O
0.7487 0.8243 0.2504 O
0.7513 0.3243 0.7496 O
0.7513 0.6757 0.7496 O
0.8270 0.5000 0.3243 O
```

***

Record 8
SiNi | GGA-PBE | relaxed

Summary:
crystal system = hexagonal
calculated volume = 67 Å³ per cell
calculated total energy = -5.27 eV/atom
space group = No. 186

Geometry as POSCAR:
```
SiNi
1.0
3.6306 0.0000 0.0000
-1.8153 3.1442 0.0000
0.0000 0.0000 5.9080
Si Ni
2 2
direct
0.3333 0.6667 0.0000 Si
0.6667 0.3333 0.5000 Si
0.3333 0.6667 0.6225 Ni
0.6667 0.3333 0.1225 Ni
```

***

Record 9
Li3Mg2NbO6 | GGA-PBE | relaxed

Summary:
crystal system = orthorhombic
calculated volume = 220 Å³ per cell
calculated total energy = -6.54 eV/atom
space group = No. 70

Geometry as POSCAR:
```
Li3Mg2NbO6
1.0
0.0000 4.3163 8.7528
2.9164 0.0000 8.7528
2.9164 4.3163 0.0000
Li Mg Nb O
6 4 2 12
direct
0.1250 0.1250 0.1250 Li
0.2074 0.2074 0.5426 Li
0.4574 0.4574 0.7926 Li
0.5426 0.5426 0.2074 Li
0.7926 0.7926 0.4574 Li
0.8750 0.8750 0.8750 Li
0.0391 0.0391 0.7109 Mg
0.2891 0.2891 0.9609 Mg
0.7109 0.7109 0.0391 Mg
0.9609 0.9609 0.2891 Mg
0.3750 0.3750 0.3750 Nb
0.6250 0.6250 0.6250 Nb
0.0598 0.5275 0.7122 O
0.1417 0.6083 0.1417 O
0.2005 0.7122 0.5275 O
0.2878 0.7995 0.9402 O
0.3917 0.8583 0.3917 O
0.4725 0.9402 0.7995 O
0.5275 0.0598 0.2005 O
0.6083 0.1417 0.6083 O
0.7122 0.2005 0.0598 O
0.7995 0.2878 0.4725 O
0.8583 0.3917 0.8583 O
0.9402 0.4725 0.2878 O
```

***

Record 10
LaThW | GGA-PBE | relaxed

Summary:
crystal system = cubic
calculated volume = 356 Å³ per cell
ΔH_f (0 K) = 0.562 eV per atom
calculated total energy = -7.87 eV/atom
energy relative to the lowest polymorph listed for this composition = 0 meV/atom
space group = No. 216

Geometry as POSCAR:
```
LaThW
1.0
7.0892 0.0000 0.0000
0.0000 7.0892 0.0000
0.0000 0.0000 7.0892
La Th W
4 4 4
direct
0.0000 0.0000 0.0000 La
0.0000 0.5000 0.5000 La
0.5000 0.0000 0.5000 La
0.5000 0.5000 0.0000 La
0.0000 0.0000 0.5000 Th
0.0000 0.5000 0.0000 Th
0.5000 0.0000 0.0000 Th
0.5000 0.5000 0.5000 Th
0.2500 0.2500 0.7500 W
0.2500 0.7500 0.2500 W
0.7500 0.2500 0.2500 W
0.7500 0.7500 0.7500 W
```

***

Record 11
Pm8Sn5Pb | GGA-PBE | relaxed

Summary:
crystal system = tetragonal
calculated volume = 435 Å³ per cell
calculated total energy = -5.13 eV/atom
space group = No. 82

Geometry as POSCAR:
```
Pm8Sn5Pb
1.0
-4.7732 4.7732 4.7773
4.7732 -4.7732 4.7773
4.7732 4.7732 -4.7773
Pm Sn Pb
8 5 1
direct
0.1268 0.2355 0.7517 Pm
0.1275 0.7386 0.7513 Pm
0.2614 0.0127 0.3888 Pm
0.4838 0.3752 0.2483 Pm
0.6239 0.8725 0.6112 Pm
0.6248 0.8732 0.1087 Pm
0.7645 0.5162 0.8913 Pm
0.9873 0.3761 0.2487 Pm
0.0000 0.0000 0.0000 Sn
0.2506 0.6260 0.1248 Sn
0.3740 0.4987 0.6246 Sn
0.5013 0.1258 0.8752 Sn
0.8742 0.7494 0.3754 Sn
0.7500 0.2500 0.5000 Pb
```

***

Record 12
NdYTc | GGA-PBE | relaxed

Summary:
crystal system = cubic
calculated volume = 316 Å³ per cell
ΔH_f (0 K) = 1.003 eV per atom
calculated total energy = -6.19 eV/atom
space group = No. 216

Geometry as POSCAR:
```
NdYTc
1.0
6.8097 0.0000 0.0000
0.0000 6.8097 0.0000
0.0000 0.0000 6.8097
Nd Y Tc
4 4 4
direct
0.0000 0.0000 0.0000 Nd
0.0000 0.5000 0.5000 Nd
0.5000 0.0000 0.5000 Nd
0.5000 0.5000 0.0000 Nd
0.2500 0.2500 0.2500 Y
0.2500 0.7500 0.7500 Y
0.7500 0.2500 0.7500 Y
0.7500 0.7500 0.2500 Y
0.2500 0.2500 0.7500 Tc
0.2500 0.7500 0.2500 Tc
0.7500 0.2500 0.2500 Tc
0.7500 0.7500 0.7500 Tc
```